# AcCoAs3 | Alexandria via LeMat-Bulk | GGA-PBE | optimized geometry
data_AcCoAs3
_cell_length_a 4.777
_cell_length_b 4.777
_cell_length_c 4.777
_cell_angle_alpha 90.00
_cell_angle_beta 90.00
_cell_angle_gamma 90.00
_space_group_name_H-M_alt 'P m -3 m'
_space_group_IT_number 221
_space_group_name_Hall '-P 4 2 3'
loop_
_atom_site_label
_atom_site_type_symbol
_atom_site_fract_x
_atom_site_fract_y
_atom_site_fract_z
Ac1 Ac 0.000 0.000 0.000
Co1 Co 0.500 0.500 0.500
As1 As 0.000 0.500 0.500
# DFT formation energy ... -1.92 eV per formula unit
# Crystal system ... cubic
# E ... -5.416 eV/atom


# AcCoCuAs2 | Alexandria via LeMat-Bulk | GGA-PBE | optimized geometry
data_AcCoCuAs2
_cell_length_a 4.165
_cell_length_b 4.165
_cell_length_c 11.053
_cell_angle_alpha 90.00
_cell_angle_beta 90.00
_cell_angle_gamma 90.00
_space_group_name_H-M_alt 'I -4 m 2'
_space_group_IT_number 119
_space_group_name_Hall 'I -4 -2'
loop_
_atom_site_label
_atom_site_type_symbol
_atom_site_fract_x
_atom_site_fract_y
_atom_site_fract_z
Ac1 Ac 0.000 0.000 0.000
Co1 Co 0.000 0.500 0.250
Cu1 Cu 0.000 0.500 0.750
As1 As 0.000 0.000 0.360
# DFT formation energy ... -3.08 eV per formula unit
# Crystal system ... tetragonal
# E ... -5.538 eV/atom


# Ac2CoNi3As4 | Alexandria via LeMat-Bulk | GGA-PBE | optimized geometry
data_Ac2CoNi3As4
_cell_length_a 4.320
_cell_length_b 4.320
_cell_length_c 9.758
_cell_angle_alpha 90.00
_cell_angle_beta 90.00
_cell_angle_gamma 90.00
_space_group_name_H-M_alt 'P -4 m 2'
_space_group_IT_number 115
loop_
_space_group_symop_operation_xyz
'x,y,z'
'y,-x,-z'
'-x,-y,z'
'-y,x,-z'
'-x,y,z'
'-y,-x,-z'
'x,-y,z'
'y,x,-z'
loop_
_atom_site_label
_atom_site_type_symbol
_atom_site_fract_x
_atom_site_fract_y
_atom_site_fract_z
Ac1 Ac 0.000 0.500 0.248
Co1 Co 0.500 0.500 0.000
Ni1 Ni 0.000 0.000 0.000
Ni2 Ni 0.000 0.500 0.614
As1 As 0.000 0.000 0.500
As2 As 0.000 0.500 0.873
As3 As 0.500 0.500 0.500
# DFT formation energy ... -7.66 eV per formula unit
# Crystal system ... tetragonal
# E ... -5.893 eV/atom


# AcCoNiAs2 | Alexandria via LeMat-Bulk | GGA-PBE | optimized geometry
data_AcCoNiAs2
_cell_length_a 4.077
_cell_length_b 4.077
_cell_length_c 11.358
_cell_angle_alpha 90.00
_cell_angle_beta 90.00
_cell_angle_gamma 90.00
_space_group_name_H-M_alt 'I -4 m 2'
_space_group_IT_number 119
_space_group_name_Hall 'I -4 -2'
loop_
_atom_site_label
_atom_site_type_symbol
_atom_site_fract_x
_atom_site_fract_y
_atom_site_fract_z
Ac1 Ac 0.000 0.000 0.000
Co1 Co 0.000 0.500 0.250
Ni1 Ni 0.000 0.500 0.750
As1 As 0.000 0.000 0.357
# DFT formation energy ... -3.60 eV per formula unit
# Crystal system ... tetragonal
# E ... -5.978 eV/atom


# Ac2Co3NiAs4 | Alexandria via LeMat-Bulk | GGA-PBE | optimized geometry
data_Ac2Co3NiAs4
_cell_length_a 4.301
_cell_length_b 4.301
_cell_length_c 9.693
_cell_angle_alpha 90.00
_cell_angle_beta 90.00
_cell_angle_gamma 90.00
_space_group_name_H-M_alt 'P -4 m 2'
_space_group_IT_number 115
loop_
_space_group_symop_operation_xyz
'x,y,z'
'y,-x,-z'
'-x,-y,z'
'-y,x,-z'
'-x,y,z'
'-y,-x,-z'
'x,-y,z'
'y,x,-z'
loop_
_atom_site_label
_atom_site_type_symbol
_atom_site_fract_x
_atom_site_fract_y
_atom_site_fract_z
Ac1 Ac 0.000 0.500 0.250
Co1 Co 0.000 0.000 0.000
Co2 Co 0.000 0.500 0.611
Ni1 Ni 0.500 0.500 0.000
As1 As 0.000 0.000 0.500
As2 As 0.000 0.500 0.868
As3 As 0.500 0.500 0.500
# DFT formation energy ... -7.05 eV per formula unit
# Crystal system ... tetragonal
# E ... -6.097 eV/atom